(1)
GGA-PBEsol KTiF4, relaxed; final energy = -6.05 eV per atom; formation energy from raw total energies = -3188.5 meV/atom
1.0
6.3626 -4.3015 0.0000
6.3626 4.3015 0.0000
-1.1951 0.0000 3.7722
K Ti F
2 2 8
Direct
0.1874 0.1874 0.1821
0.8126 0.8126 0.8179
0.3116 0.6884 0.5000
0.6884 0.3116 0.5000
0.0528 0.6992 0.3793
0.3008 0.9472 0.6207
0.3081 0.6919 0.0000
0.3983 0.3983 0.4015
0.6017 0.6017 0.5985
0.6919 0.3081 0.0000
0.6992 0.0528 0.3793
0.9472 0.3008 0.6207

(2)
GGA-PBEsol SrSc2Mn, relaxed; final energy = -5.65 eV per atom; E above lowest polymorph = 147.3 meV per atom
1.0
4.4935 0.0000 0.0000
0.0000 4.4935 0.0000
0.0000 0.0000 4.8466
Sr Sc Mn
1 2 1
Direct
0.0000 0.0000 0.0000
0.0000 0.5000 0.5000
0.5000 0.0000 0.5000
0.5000 0.5000 0.0000

(3)
GGA-PBEsol Mg2AsPb, relaxed; final energy = -3.32 eV per atom; E above lowest polymorph = 44.9 meV per atom
1.0
3.1909 0.0000 0.0000
0.0000 3.6286 0.0000
0.0000 0.0000 7.6667
Mg As Pb
2 1 1
Direct
0.0000 0.0000 0.2055
0.0000 0.0000 0.7945
0.5000 0.5000 0.0000
0.5000 0.5000 0.5000

(4)
GGA-PBEsol BaBeFe2Mo, relaxed; final energy = -5.41 eV per atom
1.0
4.4489 0.0000 0.0000
0.0000 4.4489 0.0000
0.0000 0.0000 5.7187
Ba Be Fe Mo
1 1 2 1
Direct
0.0000 0.0000 0.0000
0.5000 0.5000 0.0000
0.0000 0.5000 0.5000
0.5000 0.0000 0.5000
0.0000 0.0000 0.5000

(5)
GGA-PBEsol CaCrSeO2, relaxed; final energy = -6.58 eV per atom; formation energy from raw total energies = -1231.4 meV/atom
1.0
3.6986 0.0000 0.0000
0.0000 3.6986 0.0000
0.0000 0.0000 8.1304
Ca Cr Se O
1 1 1 2
Direct
0.0000 0.0000 0.0000
0.0000 0.0000 0.5000
0.5000 0.5000 0.0000
0.0000 0.5000 0.5000
0.5000 0.0000 0.5000

(6)
GGA-PBEsol ZnSiMo2, relaxed; final energy = -7.65 eV per atom; formation energy from raw total energies = 67.5 meV/atom; E above lowest polymorph = 0.0 meV per atom
1.0
6.0816 0.0000 0.0000
0.0000 6.0816 0.0000
0.0000 0.0000 6.0816
Zn Si Mo
4 4 8
Direct
0.0000 0.0000 0.0000
0.0000 0.5000 0.5000
0.5000 0.0000 0.5000
0.5000 0.5000 0.0000
0.2500 0.2500 0.7500
0.2500 0.7500 0.2500
0.7500 0.2500 0.2500
0.7500 0.7500 0.7500
0.0000 0.0000 0.5000
0.0000 0.5000 0.0000
0.2500 0.2500 0.2500
0.2500 0.7500 0.7500
0.5000 0.0000 0.0000
0.5000 0.5000 0.5000
0.7500 0.2500 0.7500
0.7500 0.7500 0.2500

(7)
GGA-PBEsol RuSN2O, relaxed; final energy = -5.48 eV per atom; formation energy from raw total energies = 1892.7 meV/atom
1.0
3.6579 0.0000 0.0000
0.0000 3.6579 0.0000
0.0000 0.0000 3.6099
Ru S N O
1 1 2 1
Direct
0.0000 0.0000 0.0000
0.5000 0.5000 0.0000
0.0000 0.5000 0.5000
0.5000 0.0000 0.5000
0.5000 0.5000 0.5000

(8)
GGA-PBEsol CdNiBr2, relaxed; final energy = -2.57 eV per atom; formation energy from raw total energies = 205.1 meV/atom; E above lowest polymorph = 403.3 meV per atom
1.0
3.6731 0.0000 0.0000
0.0000 3.8704 0.0000
0.0000 0.0000 6.1071
Cd Ni Br
1 1 2
Direct
0.0000 0.0000 0.0000
0.5000 0.0000 0.5000
0.0000 0.5000 0.5000
0.5000 0.5000 0.0000

(9)
GGA-PBEsol LiSnI2, relaxed; final energy = -2.88 eV per atom; formation energy from raw total energies = -440.8 meV/atom
1.0
7.9873 0.0000 0.0000
0.0000 7.9873 0.0000
0.0000 0.0000 7.9299
Li Sn I
4 4 8
Direct
0.0000 0.0000 0.0000
0.0000 0.5000 0.2500
0.5000 0.0000 0.7500
0.5000 0.5000 0.5000
0.0000 0.0000 0.5000
0.0000 0.5000 0.7500
0.5000 0.0000 0.2500
0.5000 0.5000 0.0000
0.2063 0.2500 0.1250
0.2500 0.7063 0.3750
0.2500 0.7937 0.8750
0.2937 0.2500 0.6250
0.7063 0.7500 0.6250
0.7500 0.2063 0.8750
0.7500 0.2937 0.3750
0.7937 0.7500 0.1250

(10)
GGA-PBEsol SrCuSe2O6, relaxed; final energy = -5.85 eV per atom; formation energy from raw total energies = -1308.5 meV/atom
1.0
3.9601 -2.5699 0.0000
3.9601 2.5699 0.0000
-0.0189 0.0000 14.8288
Sr Cu Se O
2 2 4 12
Direct
0.0615 0.9385 0.7500
0.9385 0.0615 0.2500
0.0000 0.0000 0.0000
0.0000 0.0000 0.5000
0.3530 0.3536 0.5913
0.3536 0.3530 0.0913
0.6464 0.6470 0.9087
0.6470 0.6464 0.4087
0.1504 0.7511 0.1055
0.2364 0.3654 0.6992
0.2489 0.8496 0.3945
0.2660 0.6729 0.9196
0.3271 0.7340 0.5804
0.3654 0.2364 0.1992
0.6346 0.7636 0.8008
0.6729 0.2660 0.4196
0.7340 0.3271 0.0804
0.7511 0.1504 0.6055
0.7636 0.6346 0.3008
0.8496 0.2489 0.8945

(11)
GGA-PBEsol MnP2PtCl, relaxed; final energy = -5.32 eV per atom; formation energy from raw total energies = 743.5 meV/atom
1.0
4.6158 0.0000 0.0000
0.0000 4.6158 0.0000
0.0000 0.0000 4.8831
Mn P Pt Cl
1 2 1 1
Direct
0.0000 0.0000 0.0000
0.0000 0.5000 0.5000
0.5000 0.0000 0.5000
0.5000 0.5000 0.5000
0.5000 0.5000 0.0000

(12)
GGA-PBEsol MnReTeN2, relaxed; final energy = -7.35 eV per atom; formation energy from raw total energies = 1381.5 meV/atom; E above lowest polymorph = 852.3 meV per atom
1.0
3.6904 0.0000 0.0000
0.0000 3.6904 0.0000
0.0000 0.0000 5.3458
Mn Re Te N
1 1 1 2
Direct
0.0000 0.0000 0.0000
0.5000 0.5000 0.5000
0.0000 0.0000 0.5000
0.0000 0.5000 0.0000
0.5000 0.0000 0.0000

Repeat the second record exactly.
GGA-PBEsol SrSc2Mn, relaxed; final energy = -5.65 eV per atom; E above lowest polymorph = 147.3 meV per atom
1.0
4.4935 0.0000 0.0000
0.0000 4.4935 0.0000
0.0000 0.0000 4.8466
Sr Sc Mn
1 2 1
Direct
0.0000 0.0000 0.0000
0.0000 0.5000 0.5000
0.5000 0.0000 0.5000
0.5000 0.5000 0.0000